(1)
Density functional theory data (PBE) for Ac4InNiI2 after structural relaxation.

Summary:
E_form (uncorrected): -5.15 eV per formula unit
crystal system: monoclinic
space-group type: P2/m (10)
N(E_F): 1.021 states/eV/atom

Cell lengths 4.336, 8.440, 8.811 Å; angles 105.34, 90.00, 90.00 degrees
Positions (direct):
Ac 0.500 0.268 0.209
Ac 0.500 0.732 0.791
Ac 0.000 0.295 0.816
Ac 0.000 0.705 0.184
In 0.000 0.000 0.000
Ni 0.500 0.500 0.000
I 0.500 0.000 0.500
I 0.000 0.500 0.500

(2)
Density functional theory data (PBE) for Sm2Dy2Er3 after structural relaxation.

Summary:
formation enthalpy at 0 K: 0.23 eV per atom
crystal system: cubic
space-group type: I2_13 (199)
N(E_F): 1.273 states/eV/atom
offset from the most stable computed form: 109 meV per atom

Cell lengths 8.387, 8.387, 8.387 Å; angles 109.47, 109.47, 109.47 degrees
Positions (direct):
Sm 0.000 0.000 0.812
Sm 0.500 0.812 0.500
Sm 0.188 0.688 0.688
Sm 0.312 0.500 0.000
Dy 0.000 0.000 0.415
Dy 0.500 0.415 0.500
Dy 0.585 0.085 0.085
Dy 0.915 0.500 0.000
Er 0.693 0.750 0.943
Er 0.807 0.250 0.557
Er 0.057 0.307 0.250
Er 0.443 0.193 0.750
Er 0.250 0.943 0.193
Er 0.750 0.557 0.307

(3)
Density functional theory data (PBE) for LiY4Se5 after structural relaxation.

Summary:
E_form (uncorrected): -17.60 eV per formula unit
crystal system: tetragonal
space-group type: I4 (79)
N(E_F): 0.408 states/eV/atom

Cell lengths 5.738, 7.034, 7.034 Å; angles 80.42, 65.93, 65.93 degrees
Positions (direct):
Li 0.002 0.000 0.000
Y 0.401 0.400 0.799
Y 0.801 0.799 0.600
Y 0.201 0.201 0.400
Y 0.600 0.600 0.201
Se 0.905 0.387 0.804
Se 0.292 0.804 0.613
Se 0.710 0.196 0.387
Se 0.097 0.613 0.196
Se 0.501 0.000 0.000

(4)
Density functional theory data (PBE) for MoAs2P after structural relaxation.

Summary:
formation enthalpy at 0 K: 0.46 eV per atom
crystal system: tetragonal
space-group type: I-42d (122)
N(E_F): 1.019 states/eV/atom

Cell lengths 5.753, 5.753, 6.776 Å; angles 64.88, 64.88, 90.00 degrees
Site moments in Bohr magnetons follow the coordinates.
Positions (direct):
P 0.500 0.500 0.000  0.01
P 0.250 0.750 0.500  0.01
Mo 0.000 0.000 0.000  0.48
Mo 0.750 0.250 0.500  0.48
As 0.623 0.125 0.250  -0.01
As 0.127 0.625 0.250  -0.01
As 0.375 0.377 0.750  -0.01
As 0.875 0.873 0.750  -0.01

Q: Look up the N(E_F) of the fourth one.
A: 1.019 states/eV/atom

Q: The highest N(E_F) belongs to which entry?
A: Sm2Dy2Er3

Q: What is the N(E_F) in the first record?
A: 1.021 states/eV/atom